[1]
DFT (PBE-GGA) results for LiHoSnBr6 after structural relaxation.

abc: 7.0909 7.0909 13.1195
angles: 90.00 90.00 120.00
Positions (direct):
Li1 0.3333 0.6667 0.2500
Li2 0.6667 0.3333 0.7500
Ho1 0.3333 0.6667 0.7500
Ho2 0.6667 0.3333 0.2500
Sn1 0.0000 0.0000 0.0000
Sn2 0.0000 0.0000 0.5000
Br1 0.0032 0.3539 0.1301
Br2 0.0032 0.6492 0.3699
Br3 0.3508 0.3539 0.3699
Br4 0.3508 0.9968 0.1301
Br5 0.3539 0.0032 0.6301
Br6 0.3539 0.3508 0.8699
Br7 0.6461 0.6492 0.1301
Br8 0.6461 0.9968 0.3699
Br9 0.6492 0.0032 0.8699
Br10 0.6492 0.6461 0.6301
Br11 0.9968 0.3508 0.6301
Br12 0.9968 0.6461 0.8699

Calculated volume (Å³/cell): 571.3
Calculated density (g cm⁻³): 4.48
Uncorrected formation energy (eV/atom): -1.4050
Crystal system: trigonal
Total magnetic moment (μB per cell): 0.0
DOS at the Fermi energy (states/eV/cell): 0.00

=====

[2]
DFT (PBE-GGA) results for LiHoTl2Br6 after structural relaxation.

abc: 7.5872 7.8675 13.1709
angles: 90.00 124.90 90.00
Positions (direct):
Li1 0.0000 0.0000 0.0000
Li2 0.0000 0.5000 0.5000
Ho1 0.5000 0.0000 0.5000
Ho2 0.5000 0.5000 0.0000
Tl1 0.2289 0.0693 0.7475
Tl2 0.2289 0.4307 0.2475
Tl3 0.7711 0.5693 0.7525
Tl4 0.7711 0.9307 0.2525
Br1 0.1614 0.2027 0.4583
Br2 0.1614 0.2973 0.9583
Br3 0.2585 0.7068 0.4589
Br4 0.2585 0.7932 0.9589
Br5 0.3312 0.0128 0.2481
Br6 0.3312 0.4872 0.7481
Br7 0.6688 0.5128 0.2519
Br8 0.6688 0.9872 0.7519
Br9 0.7415 0.2068 0.0411
Br10 0.7415 0.2932 0.5411
Br11 0.8386 0.7027 0.0417
Br12 0.8386 0.7973 0.5417

Calculated volume (Å³/cell): 644.8
Calculated density (g cm⁻³): 5.46
Uncorrected formation energy (eV/atom): -1.4051
Crystal system: monoclinic
Total magnetic moment (μB per cell): 0.0
DOS at the Fermi energy (states/eV/cell): 0.00